## 1
VASP calculation (PBE) on a relaxed AcPbO2 crystal.

The structure in POSCAR format:
```
AcPbO2
1.0
1.9942 1.1514 7.1518
-1.9942 1.1514 7.1518
0.0000 -2.3028 7.1518
Ac Pb O
1 1 2
Cartesian
0.0000 0.0000 0.0000 Ac
0.0000 0.0000 10.7278 Pb
0.0000 0.0000 2.2312 O
0.0000 0.0000 19.2243 O
```

Calculated values
Density of states at the Fermi level   0.6120 states/eV/atom

***

## 2
VASP calculation (PBE) on a relaxed AcPbO2 crystal.

The structure in POSCAR format:
```
AcPbO2
1.0
3.2486 0.0000 0.0000
0.0000 3.2486 0.0000
0.0000 0.0000 7.3951
Ac Pb O
1 1 2
Cartesian
0.0000 0.0000 0.0000 Ac
0.0000 0.0000 3.6975 Pb
1.6243 1.6243 1.3350 O
1.6243 1.6243 6.0601 O
```

Calculated values
Density of states at the Fermi level   0.2844 states/eV/atom

***

Verdict on stability: 1 comes out at the bottom.

***

## 1
VASP calculation (PBE) on a relaxed Ac2PdO crystal.

The structure in POSCAR format:
```
Ac2PdO
1.0
2.0506 1.1839 6.9818
-2.0506 1.1839 6.9818
0.0000 -2.3678 6.9818
Ac Pd O
2 1 1
Cartesian
0.0000 0.0000 5.0295 Ac
0.0000 0.0000 15.9157 Ac
0.0000 0.0000 0.0000 Pd
0.0000 0.0000 10.4726 O
```

Calculated values
Density of states at the Fermi level   0.7242 states/eV/atom

***

## 2
VASP calculation (PBE) on a relaxed Ac2PdO crystal.

The structure in POSCAR format:
```
Ac2PdO
1.0
6.3364 0.0000 0.0000
0.0000 6.4103 0.0000
-5.6738 0.0000 10.9774
Ac Pd O
8 4 4
Cartesian
-0.0190 1.5305 1.1303 Ac
-2.8559 4.8798 6.6190 Ac
-2.7822 1.3863 9.3798 Ac
0.0547 5.0240 3.8911 Ac
0.6079 1.3863 7.0864 Ac
3.4448 5.0240 1.5977 Ac
3.5184 1.5305 4.3584 Ac
0.6815 4.8798 9.8471 Ac
0.3557 1.8457 4.1186 Pd
-2.4812 4.5646 9.6073 Pd
3.1437 1.8457 1.3701 Pd
0.3068 4.5646 6.8588 Pd
-3.3281 0.8795 6.8363 O
-0.4912 5.5308 1.3476 O
1.1538 0.8795 9.6298 O
3.9907 5.5308 4.1411 O
```

Calculated values
Density of states at the Fermi level   0.5801 states/eV/atom

***

Verdict on stability: 1 comes out at the bottom.

***

## 1
VASP calculation (PBE) on a relaxed AcPmO2 crystal.

The structure in POSCAR format:
```
AcPmO2
1.0
1.8219 1.0519 6.1752
-1.8219 1.0519 6.1752
0.0000 -2.1037 6.1752
Ac Pm O
1 1 2
Cartesian
0.0000 0.0000 0.0000 Ac
0.0000 0.0000 9.2628 Pm
0.0000 0.0000 4.3450 O
0.0000 0.0000 14.1805 O
```

Calculated values
Density of states at the Fermi level   0.1846 states/eV/atom

***

## 2
VASP calculation (PBE) on a relaxed AcPmO2 crystal.

The structure in POSCAR format:
```
AcPmO2
1.0
3.2089 0.0000 0.0000
0.0000 3.2089 0.0000
0.0000 0.0000 6.3706
Ac Pm O
1 1 2
Cartesian
0.0000 0.0000 0.0000 Ac
0.0000 0.0000 3.1853 Pm
1.6045 1.6045 1.6415 O
1.6045 1.6045 4.7291 O
```

Calculated values
Density of states at the Fermi level   0.4475 states/eV/atom

***

Verdict on stability: 2 comes out at the bottom.

***

## 1
VASP calculation (PBE) on a relaxed Ac2PtO crystal.

The structure in POSCAR format:
```
Ac2PtO
1.0
1.9125 1.1042 8.6369
-1.9125 1.1042 8.6369
0.0000 -2.2084 8.6369
Ac Pt O
2 1 1
Cartesian
0.0000 0.0000 2.7774 Ac
0.0000 0.0000 23.1334 Ac
0.0000 0.0000 0.0000 Pt
0.0000 0.0000 12.9554 O
```

Calculated values
Density of states at the Fermi level   0.6803 states/eV/atom

***

## 2
VASP calculation (PBE) on a relaxed Ac2PtO crystal.

The structure in POSCAR format:
```
Ac2PtO
1.0
2.0851 1.2038 8.4837
-2.0851 1.2038 8.4837
0.0000 -2.4077 8.4837
Ac Pt O
2 1 1
Cartesian
0.0000 0.0000 0.0000 Ac
0.0000 0.0000 4.5989 Ac
0.0000 0.0000 15.3611 Pt
0.0000 0.0000 20.9994 O
```

Calculated values
Density of states at the Fermi level   0.1743 states/eV/atom

***

## 3
VASP calculation (PBE) on a relaxed Ac2PtO crystal.

The structure in POSCAR format:
```
Ac2PtO
1.0
6.2550 0.0000 0.0000
0.0000 6.2884 0.0000
-5.7066 0.0000 11.1660
Ac Pt O
8 4 4
Cartesian
0.0113 1.4825 1.2020 Ac
-2.8420 4.8058 6.7850 Ac
-2.8407 1.3925 9.5837 Ac
0.0126 4.8959 4.0007 Ac
0.5358 1.3925 7.1654 Ac
3.3891 4.8959 1.5824 Ac
3.3904 1.4825 4.3810 Ac
0.5371 4.8058 9.9641 Ac
0.2596 1.7503 4.1948 Pt
-2.5937 4.5381 9.7779 Pt
3.1421 1.7503 1.3882 Pt
0.2888 4.5381 6.9712 Pt
-3.3023 0.9328 6.9588 O
-0.4490 5.3555 1.3758 O
0.9974 0.9328 9.7902 O
3.8507 5.3555 4.2072 O
```

Calculated values
Density of states at the Fermi level   0.6435 states/eV/atom

***

Verdict on stability: 1 comes out at the bottom.

***

## 1
VASP calculation (PBE) on a relaxed AcPuO2 crystal.

The structure in POSCAR format:
```
AcPuO2
1.0
4.5332 0.0000 0.0000
0.0000 4.5332 0.0000
0.0000 0.0000 3.2058
Ac Pu O
1 1 2
Cartesian
0.0000 0.0000 0.0000 Ac
2.2666 2.2666 0.0000 Pu
0.0000 2.2666 1.6029 O
2.2666 0.0000 1.6029 O
```

Calculated values
Density of states at the Fermi level   1.2533 states/eV/atom

***

## 2
VASP calculation (PBE) on a relaxed AcPuO2 crystal.

The structure in POSCAR format:
```
AcPuO2
1.0
1.9979 1.1535 6.6780
-1.9979 1.1535 6.6780
0.0000 -2.3070 6.6780
Ac Pu O
1 1 2
Cartesian
0.0000 0.0000 0.0000 Ac
0.0000 0.0000 10.0169 Pu
0.0000 0.0000 7.8063 O
0.0000 0.0000 12.2276 O
```

Calculated values
Density of states at the Fermi level   2.3877 states/eV/atom

***

Verdict on stability: 1 comes out at the bottom.

***

## 1
VASP calculation (PBE) on a relaxed Rb3AcO3 crystal.

The structure in POSCAR format:
```
Rb3AcO3
1.0
-3.8069 4.0291 5.9706
3.8069 -4.0291 5.9706
3.8069 4.0291 -5.9706
Rb Ac O
6 2 6
Cartesian
1.8827 0.0000 0.0000 Rb
5.7312 0.0000 0.0000 Rb
0.0000 2.0145 2.6331 Rb
1.8827 4.0291 0.0000 Rb
1.9243 0.0000 5.9706 Rb
3.8069 2.0145 3.3375 Rb
3.8069 -2.0145 3.3527 Ac
0.0000 6.0436 2.6179 Ac
1.9035 3.6389 -2.9853 O
1.9035 -0.3901 2.9853 O
3.8069 -2.0145 5.7113 O
0.0000 6.0436 0.2593 O
-1.9035 4.4192 2.9853 O
1.9035 4.4192 2.9853 O
```

***

## 2
VASP calculation (PBE) on a relaxed Rb3AcO3 crystal.

The structure in POSCAR format:
```
Rb3AcO3
1.0
4.0127 -6.5737 0.0000
4.0127 6.5737 0.0000
-0.7008 0.0000 7.5718
Rb Ac O
6 2 6
Cartesian
4.0127 3.6676 0.0000 Rb
3.6623 3.2027 3.7859 Rb
2.7636 0.0000 1.0433 Rb
4.5610 0.0000 6.5284 Rb
3.6623 -3.2027 3.7859 Rb
4.0127 -3.6676 0.0000 Rb
1.0994 0.0000 4.9324 Ac
6.2252 0.0000 2.6394 Ac
0.6002 0.0000 2.5556 O
2.1823 1.8651 5.8064 O
2.1823 -1.8651 5.8064 O
5.1423 1.8651 1.7654 O
5.1423 -1.8651 1.7654 O
6.7244 0.0000 5.0161 O
```

***

Verdict on stability: 2 comes out at the bottom.

***

## 1
VASP calculation (PBE) on a relaxed RbAcO crystal.

The structure in POSCAR format:
```
RbAcO
1.0
2.1019 1.2135 8.6198
-2.1019 1.2135 8.6198
0.0000 -2.4271 8.6198
Rb Ac O
1 1 1
Cartesian
0.0000 0.0000 0.0000 Rb
0.0000 0.0000 21.2576 Ac
0.0000 0.0000 3.9975 O
```

Calculated values
Density of states at the Fermi level   0.6860 states/eV/atom

***

## 2
VASP calculation (PBE) on a relaxed RbAcO crystal.

The structure in POSCAR format:
```
RbAcO
1.0
4.2028 0.0000 0.0000
-2.1014 3.6397 0.0000
0.0000 0.0000 8.4998
Rb Ac O
1 1 1
Cartesian
0.0000 0.0000 0.0000 Rb
2.1014 1.2132 4.2499 Ac
0.0000 2.4265 4.2499 O
```

Calculated values
Density of states at the Fermi level   0.7286 states/eV/atom

***

Verdict on stability: 1 comes out at the bottom.

***

## 1
VASP calculation (PBE) on a relaxed AcReO5 crystal.

The structure in POSCAR format:
```
AcReO5
1.0
8.1894 0.0000 0.0000
0.0000 8.1894 0.0000
0.0000 0.0000 4.5782
Ac Re O
2 2 10
Cartesian
2.0473 2.0473 1.0751 Ac
6.1420 6.1420 3.5030 Ac
2.0473 6.1420 2.2891 Re
6.1420 2.0473 2.2891 Re
0.6161 6.1420 3.3057 O
2.0473 2.0473 3.3732 O
2.0473 4.7108 1.2725 O
2.0473 7.5733 1.2725 O
3.4786 6.1420 3.3057 O
4.7108 2.0473 1.2725 O
6.1420 0.6161 3.3057 O
6.1420 3.4786 3.3057 O
6.1420 6.1420 1.2049 O
7.5733 2.0473 1.2725 O
```

Calculated values
Density of states at the Fermi level   0.2402 states/eV/atom

***

## 2
VASP calculation (PBE) on a relaxed AcReO5 crystal.

The structure in POSCAR format:
```
AcReO5
1.0
4.7279 -3.4064 0.0000
4.7279 3.4064 0.0000
-3.1847 0.0000 7.1088
Ac Re O
2 2 10
Cartesian
2.3393 3.0469 5.3316 Ac
3.9317 -3.0469 1.7772 Ac
4.7279 0.0000 0.0000 Re
3.1355 0.0000 3.5544 Re
4.5556 1.8733 0.2391 O
3.3078 1.8733 3.3153 O
1.4685 0.0683 2.7959 O
-0.1239 -0.0683 6.3503 O
2.3393 0.3844 5.3316 O
3.9317 -0.3844 1.7772 O
6.3949 0.0683 0.7585 O
4.8025 -0.0683 4.3129 O
2.9632 -1.8733 3.7936 O
1.7154 -1.8733 6.8697 O
```

***

Verdict on stability: 1 comes out at the bottom.

***

## 1
VASP calculation (PBE) on a relaxed Ac2RhO crystal.

The structure in POSCAR format:
```
Ac2RhO
1.0
7.0345 0.0000 0.0000
0.0000 3.7336 0.0000
0.0000 0.0000 15.0716
Ac Rh O
8 4 4
Cartesian
1.0868 0.9334 2.8837 Ac
1.7600 0.9334 6.9543 Ac
1.7572 2.8002 14.4901 Ac
2.4304 2.8002 10.4195 Ac
4.6041 0.9334 4.6521 Ac
5.2773 0.9334 0.5815 Ac
5.2744 2.8002 8.1173 Ac
5.9476 2.8002 12.1879 Ac
0.1501 0.9334 9.7964 Rh
3.3672 2.8002 2.2606 Rh
3.6673 0.9334 12.8110 Rh
6.8844 2.8002 5.2752 Rh
0.0730 0.9334 13.8494 O
3.4442 2.8002 6.3136 O
3.5903 0.9334 8.7579 O
6.9614 2.8002 1.2221 O
```

Calculated values
Density of states at the Fermi level   0.6751 states/eV/atom

***

## 2
VASP calculation (PBE) on a relaxed Ac2RhO crystal.

The structure in POSCAR format:
```
Ac2RhO
1.0
2.0508 1.1840 8.0463
-2.0508 1.1840 8.0463
0.0000 -2.3681 8.0463
Ac Rh O
2 1 1
Cartesian
0.0000 0.0000 0.0000 Ac
0.0000 0.0000 4.2385 Ac
0.0000 0.0000 14.5701 Rh
0.0000 0.0000 19.6181 O
```

Calculated values
Density of states at the Fermi level   0.6105 states/eV/atom

***

Verdict on stability: 2 comes out at the bottom.

***

## 1
VASP calculation (PBE) on a relaxed Ac2RhO crystal.

The structure in POSCAR format:
```
Ac2RhO
1.0
3.5172 0.0000 0.0000
0.0000 3.5172 0.0000
0.0000 0.0000 7.2539
Ac Rh O
2 1 1
Cartesian
0.0000 0.0000 1.7266 Ac
0.0000 0.0000 5.5273 Ac
1.7586 1.7586 3.6269 Rh
1.7586 1.7586 0.0000 O
```

Calculated values
Density of states at the Fermi level   0.5396 states/eV/atom

***

## 2
VASP calculation (PBE) on a relaxed Ac2RhO crystal.

The structure in POSCAR format:
```
Ac2RhO
1.0
2.0357 1.1753 6.8855
-2.0357 1.1753 6.8855
0.0000 -2.3507 6.8855
Ac Rh O
2 1 1
Cartesian
0.0000 0.0000 5.0401 Ac
0.0000 0.0000 15.6165 Ac
0.0000 0.0000 0.0000 Rh
0.0000 0.0000 10.3283 O
```

Calculated values
Density of states at the Fermi level   0.6860 states/eV/atom

***

Verdict on stability: 1 comes out at the bottom.

***

## 1
VASP calculation (PBE) on a relaxed Ac2RuO5 crystal.

The structure in POSCAR format:
```
Ac2RuO5
1.0
7.3669 0.0000 0.0000
0.0000 5.5710 0.0000
0.0000 0.0000 11.3921
Ac Ru O
8 4 20
Cartesian
0.2393 1.3927 2.3160 Ac
1.1302 4.1782 4.7980 Ac
2.5532 1.3927 10.4940 Ac
3.4441 4.1782 8.0121 Ac
3.9228 1.3927 3.3800 Ac
4.8137 4.1782 0.8981 Ac
6.2367 1.3927 6.5941 Ac
7.1276 4.1782 9.0761 Ac
1.3229 4.1782 0.6610 Ru
2.3605 1.3927 6.3571 Ru
5.0064 4.1782 5.0350 Ru
6.0440 1.3927 10.7311 Ru
0.0000 0.0000 0.0000 O
0.0000 2.7855 0.0000 O
0.4178 4.1782 2.4041 O
1.0904 2.8118 6.9363 O
1.0904 5.5447 6.9363 O
1.6078 1.3927 4.3557 O
2.0756 4.1782 10.0518 O
2.5931 0.0263 1.2403 O
2.5931 2.7592 1.2403 O
3.2656 1.3927 8.1001 O
3.6835 0.0000 5.6961 O
3.6835 2.7855 5.6961 O
4.1013 4.1782 3.2920 O
4.7739 2.8118 10.1518 O
4.7739 5.5447 10.1518 O
5.2913 1.3927 1.3403 O
5.7591 4.1782 7.0364 O
6.2765 0.0263 4.4558 O
6.2765 2.7592 4.4558 O
6.9491 1.3927 8.9880 O
```

Calculated values
Density of states at the Fermi level   0.4485 states/eV/atom

***

## 2
VASP calculation (PBE) on a relaxed Ac2RuO5 crystal.

The structure in POSCAR format:
```
Ac2RuO5
1.0
5.2329 -2.2953 0.0000
5.2329 2.2953 0.0000
-3.7436 0.0000 5.8925
Ac Ru O
2 1 5
Cartesian
1.3653 0.0000 1.4387 Ac
5.3568 0.0000 4.4537 Ac
3.3611 2.2584 2.9462 Ru
-2.4984 0.0814 4.8079 O
0.0756 -0.0044 3.6095 O
3.3611 0.1685 2.9462 O
6.6466 -0.0044 2.2829 O
9.2206 0.0814 1.0845 O
```

Calculated values
Density of states at the Fermi level   0.2013 states/eV/atom

***

Verdict on stability: 2 comes out at the bottom.